(1)
! SrNiSe2 | Alexandria | PBE | relaxed; values from VASP
! SG = F-43m
! Electronic total energy = -59.21 eV for the cell shown
! Density = 5.728 g cm⁻³
&SYSTEM
  ibrav = 0, nat = 16, ntyp = 3
/
ATOMIC_SPECIES
Sr 87.62 Sr.upf
Ni 58.69 Ni.upf
Se 78.96 Se.upf
CELL_PARAMETERS angstrom
7.0661 0.0000 0.0000
0.0000 7.0661 0.0000
0.0000 0.0000 7.0661
ATOMIC_POSITIONS crystal
Sr 0.0000 0.0000 0.0000
Sr 0.0000 0.5000 0.5000
Sr 0.5000 0.0000 0.5000
Sr 0.5000 0.5000 0.0000
Ni 0.2500 0.2500 0.7500
Ni 0.2500 0.7500 0.2500
Ni 0.7500 0.2500 0.2500
Ni 0.7500 0.7500 0.7500
Se 0.0000 0.0000 0.5000
Se 0.0000 0.5000 0.0000
Se 0.2500 0.2500 0.2500
Se 0.2500 0.7500 0.7500
Se 0.5000 0.0000 0.0000
Se 0.5000 0.5000 0.5000
Se 0.7500 0.2500 0.7500
Se 0.7500 0.7500 0.2500

---

(2)
! Ce2P2H4Ru | Alexandria | PBE | relaxed; values from VASP
! SG = I4/mmm
! Electronic total energy = -50.69 eV for the cell shown
! Density = 5.999 g cm⁻³
&SYSTEM
  ibrav = 0, nat = 9, ntyp = 4
/
ATOMIC_SPECIES
Ce 140.12 Ce.upf
P 30.97 P.upf
H 1.01 H.upf
Ru 101.07 Ru.upf
CELL_PARAMETERS angstrom
-2.7587 2.7587 4.0670
2.7587 -2.7587 4.0670
2.7587 2.7587 -4.0670
ATOMIC_POSITIONS crystal
Ce 0.2500 0.7500 0.5000
Ce 0.7500 0.2500 0.5000
P 0.2061 0.2061 0.0000
P 0.7939 0.7939 0.0000
H 0.2782 0.2782 0.5564
H 0.2782 0.7218 0.0000
H 0.7218 0.2782 0.0000
H 0.7218 0.7218 0.4436
Ru 0.5000 0.5000 0.0000

---

(3)
! AcClO | Alexandria | PBE | relaxed; values from VASP
! SG = F-43m
! Electronic total energy = -74.05 eV for the cell shown
! Density = 6.629 g cm⁻³
&SYSTEM
  ibrav = 0, nat = 12, ntyp = 3
/
ATOMIC_SPECIES
Ac 227.00 Ac.upf
Cl 35.45 Cl.upf
O 16.00 O.upf
CELL_PARAMETERS angstrom
6.5343 0.0000 0.0000
0.0000 6.5343 0.0000
0.0000 0.0000 6.5343
ATOMIC_POSITIONS crystal
Ac 0.0000 0.0000 0.0000
Ac 0.0000 0.5000 0.5000
Ac 0.5000 0.0000 0.5000
Ac 0.5000 0.5000 0.0000
Cl 0.2500 0.2500 0.2500
Cl 0.2500 0.7500 0.7500
Cl 0.7500 0.2500 0.7500
Cl 0.7500 0.7500 0.2500
O 0.2500 0.2500 0.7500
O 0.2500 0.7500 0.2500
O 0.7500 0.2500 0.2500
O 0.7500 0.7500 0.7500

---

(4)
! ScNb2AgPt | Alexandria | PBE | relaxed; values from VASP
! SG = P4/mmm
! Electronic total energy = -32.05 eV for the cell shown
! Formation energy = 0.663 eV per atom
! Density = 7.292 g cm⁻³
&SYSTEM
  ibrav = 0, nat = 5, ntyp = 4
/
ATOMIC_SPECIES
Sc 44.96 Sc.upf
Nb 92.91 Nb.upf
Ag 107.87 Ag.upf
Pt 195.08 Pt.upf
CELL_PARAMETERS angstrom
4.9275 0.0000 0.0000
0.0000 4.9275 0.0000
0.0000 0.0000 5.0056
ATOMIC_POSITIONS crystal
Sc 0.0000 0.0000 0.0000
Nb 0.0000 0.5000 0.5000
Nb 0.5000 0.0000 0.5000
Ag 0.5000 0.5000 0.0000
Pt 0.0000 0.0000 0.5000

---

(5)
! Pr8Ho5Cd | Alexandria | PBE | relaxed; values from VASP
! SG = C2
! Electronic total energy = -60.17 eV for the cell shown
! Formation energy = 0.133 eV per atom
! Density = 7.115 g cm⁻³
&SYSTEM
  ibrav = 0, nat = 14, ntyp = 3
/
ATOMIC_SPECIES
Pr 140.91 Pr.upf
Ho 164.93 Ho.upf
Cd 112.41 Cd.upf
CELL_PARAMETERS angstrom
7.3112 -4.5195 0.0000
7.3112 4.5195 0.0000
-5.5700 0.0000 7.2905
ATOMIC_POSITIONS crystal
Pr 0.0691 0.0691 0.4174
Pr 0.2056 0.3305 0.9553
Pr 0.4575 0.1948 0.3507
Pr 0.5174 0.0111 0.6564
Pr 0.6695 0.7944 0.0447
Pr 0.8052 0.5425 0.6493
Pr 0.9309 0.9309 0.5826
Pr 0.9889 0.4826 0.3436
Ho 0.0732 0.9268 0.0000
Ho 0.3237 0.5076 0.7594
Ho 0.4924 0.6763 0.2406
Ho 0.6809 0.2154 0.1193
Ho 0.7846 0.3191 0.8807
Cd 0.3353 0.6647 0.5000

---

(6)
! PuThN | Alexandria | PBE | relaxed; values from VASP
! SG = I4mm
! Electronic total energy = -58.62 eV for the cell shown
! Density = 10.034 g cm⁻³
&SYSTEM
  ibrav = 0, nat = 6, ntyp = 3
/
ATOMIC_SPECIES
Pu 244.00 Pu.upf
Th 232.04 Th.upf
N 14.01 N.upf
CELL_PARAMETERS angstrom
4.6101 0.0000 0.0000
0.0000 4.6101 0.0000
0.0000 0.0000 7.6315
ATOMIC_POSITIONS crystal
Pu 0.0000 0.0000 0.0000
Pu 0.5000 0.5000 0.5000
Th 0.0000 0.0000 0.5466
Th 0.5000 0.5000 0.0466
N 0.0000 0.0000 0.2674
N 0.5000 0.5000 0.7674

---

- Among the records above, which one has the lowest electronic total energy?
  AcClO